[1]
KInMo2: optimized geometry, PBE.

Values from the calculation:
* DOS(E_F): 1.21 states/eV per atom
* crystal system: monoclinic
* total energy: -5.17 eV per atom

a b c (Å): 6.053 6.053 2.756
angles (deg): 98.69 98.69 122.05
Positions (direct):
K 0.000 0.000 0.000
In 0.500 0.500 0.000
Mo 0.000 0.500 0.500
Mo 0.500 0.000 0.500



[2]
CsUAg2Br8: optimized geometry, PBE.

Values from the calculation:
* formation energy from raw total energies: -998 meV/atom
* crystal system: monoclinic

a b c (Å): 6.954 6.954 10.916
angles (deg): 94.81 94.81 69.11
Positions (direct):
Cs 0.000 0.000 0.000
U 0.000 0.000 0.500
Ag 0.261 0.261 0.721
Ag 0.739 0.739 0.279
Br 0.220 0.742 0.323
Br 0.238 0.238 0.485
Br 0.258 0.780 0.677
Br 0.315 0.315 0.946
Br 0.685 0.685 0.054
Br 0.742 0.220 0.323
Br 0.762 0.762 0.515
Br 0.780 0.258 0.677



[3]
AcHo2In: optimized geometry, PBE.

Values from the calculation:
* DOS(E_F): 1.60 states/eV per atom
* crystal system: tetragonal
* total energy: -4.17 eV per atom

a b c (Å): 5.030 5.030 5.000
angles (deg): 90.00 90.00 90.00
Positions (direct):
Ac 0.000 0.000 0.000
Ho 0.000 0.500 0.500
Ho 0.500 0.000 0.500
In 0.500 0.500 0.000



[4]
SrCaGdY: optimized geometry, PBE.

Values from the calculation:
* DOS(E_F): 1.70 states/eV per atom
* crystal system: cubic
* total energy: -5.87 eV per atom

a b c (Å): 5.996 5.996 5.996
angles (deg): 60.00 60.00 60.00
Positions (direct):
Sr 0.000 0.000 0.000
Ca 0.250 0.250 0.250
Gd 0.500 0.500 0.500
Y 0.750 0.750 0.750



[5]
Ac2Nd2Y7: optimized geometry, PBE.

Values from the calculation:
* DOS(E_F): 1.76 states/eV per atom
* crystal system: monoclinic
* total energy: -5.56 eV per atom

a b c (Å): 8.308 8.308 6.253
angles (deg): 106.86 106.86 90.29
Positions (direct):
Ac 0.213 0.787 0.000
Ac 0.787 0.213 0.000
Nd 0.245 0.245 0.085
Nd 0.755 0.755 0.915
Y 0.000 0.000 0.500
Y 0.064 0.595 0.338
Y 0.402 0.402 0.686
Y 0.405 0.936 0.662
Y 0.595 0.064 0.338
Y 0.598 0.598 0.314
Y 0.936 0.405 0.662



[6]
UMn2Ag2Se6: optimized geometry, PBE.

Values from the calculation:
* DOS(E_F): 0.60 states/eV per atom
* formation energy from raw total energies: -547 meV/atom
* crystal system: monoclinic

a b c (Å): 6.641 6.641 6.829
angles (deg): 96.72 96.72 118.76
Positions (direct):
U 0.000 0.000 0.000
Mn 0.330 0.670 0.000
Mn 0.670 0.330 0.000
Ag 0.128 0.872 0.500
Ag 0.872 0.128 0.500
Se 0.043 0.400 0.231
Se 0.307 0.307 0.782
Se 0.400 0.043 0.231
Se 0.600 0.957 0.769
Se 0.693 0.693 0.218
Se 0.957 0.600 0.769